(1)
This record from Alexandria via LeMat-Bulk describes a geometry-optimized Y2Fe6Sb structure. The functional is PBE-GGA.

Unit cell a=7.6189 b=7.6189 c=2.9789 alpha=90.00 beta=90.00 gamma=120.00
Each line ends with the local moment (μB).
Atoms (fractional coordinates):
Y 0.3333 0.6667 0.0000  -0.34
Y 0.6667 0.3333 0.0000  -0.34
Fe 0.0000 0.2873 0.0000  2.32
Fe 0.7127 0.7127 0.0000  2.32
Fe 0.0000 0.6632 0.5000  2.40
Fe 0.6632 0.0000 0.5000  2.40
Fe 0.2873 0.0000 0.0000  2.32
Fe 0.3368 0.3368 0.5000  2.40
Sb 0.0000 0.0000 0.5000  -0.09

Theoretical density = 7.037 g cm⁻³
Symmetry = No. 189
Formation energy (no corrections) = 47.5 kJ/mol of atoms
V = 150 Å³ per cell
N(E_F) = 11.35 states/eV per cell
Final energy = -7.044 eV per atom



(2)
This record from Alexandria via LeMat-Bulk describes a geometry-optimized MoAsSe2S structure. The functional is PBE-GGA.

Unit cell a=4.7948 b=4.7948 c=5.0489 alpha=90.00 beta=90.00 gamma=90.00
Atoms (fractional coordinates):
S 0.5000 0.5000 0.5000
Se 0.0000 0.5000 0.0000
As 0.0000 0.0000 0.5000
Mo 0.0000 0.0000 0.0000
Se 0.5000 0.0000 0.0000

Theoretical density = 5.162 g cm⁻³
Symmetry = No. 123
Formation energy (no corrections) = 50.2 kJ/mol of atoms
V = 116 Å³ per cell
N(E_F) = 5.03 states/eV per cell
Final energy = -4.795 eV per atom
ΔE to the lowest computed polymorph = 0.000 eV/atom



(3)
This record from Alexandria via LeMat-Bulk describes a geometry-optimized InAsRh4 structure. The functional is PBE-GGA.

Unit cell a=5.2114 b=5.2114 c=5.2114 alpha=60.00 beta=60.00 gamma=60.00
Atoms (fractional coordinates):
Rh 0.3752 0.3752 0.8743
Rh 0.3752 0.8743 0.3752
Rh 0.3752 0.3752 0.3752
As 0.7500 0.7500 0.7500
In 0.0000 0.0000 0.0000
Rh 0.8743 0.3752 0.3752

Theoretical density = 9.978 g cm⁻³
Symmetry = No. 216
V = 100 Å³ per cell
Formation energy from the elements = 0.1538 eV/atom
N(E_F) = 4.52 states/eV per cell
Final energy = -5.978 eV per atom



(4)
This record from Alexandria via LeMat-Bulk describes a geometry-optimized KRePt structure. The functional is PBE-GGA.

Unit cell a=15.6670 b=4.2743 c=4.2743 alpha=119.98 beta=126.38 gamma=53.62
Atoms (fractional coordinates):
K 0.2552 0.7308 0.2692
Pt 0.4439 0.1234 0.8766
K 0.8725 0.8355 0.1645
Pt 0.6838 0.7756 0.2244
Re 0.5638 0.6162 0.3838
Re 0.5638 0.2828 0.7172

Theoretical density = 7.729 g cm⁻³
Symmetry = No. 8
V = 181 Å³ per cell
Formation energy from the elements = 0.2287 eV/atom
N(E_F) = 4.07 states/eV per cell
Final energy = -6.300 eV per atom
ΔE to the lowest computed polymorph = 0.001 eV/atom



(5)
This record from Alexandria via LeMat-Bulk describes a geometry-optimized Mo2PBr structure. The functional is PBE-GGA.

Unit cell a=5.7422 b=5.7422 c=6.6106 alpha=64.26 beta=64.26 gamma=90.00
Each line ends with the local moment (μB).
Atoms (fractional coordinates):
Mo 0.5969 0.1250 0.2500  0.70
Br 0.0000 0.0000 0.0000  0.00
P 0.5000 0.5000 0.0000  -0.03
Mo 0.8750 0.8469 0.7500  0.68
Mo 0.3750 0.4031 0.7500  0.71
P 0.2500 0.7500 0.5000  -0.03
Mo 0.1531 0.6250 0.2500  0.69
Br 0.7500 0.2500 0.5000  0.00

Theoretical density = 5.846 g cm⁻³
Symmetry = No. 122
Formation energy (no corrections) = 69.7 kJ/mol of atoms
V = 172 Å³ per cell
N(E_F) = 12.10 states/eV per cell
Final energy = -6.464 eV per atom
ΔE to the lowest computed polymorph = 0.681 eV/atom



(6)
This record from Alexandria via LeMat-Bulk describes a geometry-optimized NaSn2S4 structure. The functional is PBE-GGA.

Unit cell a=6.4176 b=8.5654 c=13.8289 alpha=90.00 beta=90.00 gamma=90.00
Atoms (fractional coordinates):
S 0.7518 0.9787 0.8412
S 0.2791 0.2500 0.4284
S 0.2482 0.4787 0.1588
Sn 0.9022 0.7500 0.4131
Sn 0.4022 0.2500 0.0869
Sn 0.0978 0.2500 0.5869
S 0.7518 0.5213 0.8412
S 0.2209 0.2500 0.9284
S 0.2210 0.7500 0.9196
S 0.7790 0.2500 0.0804
S 0.2518 0.4787 0.6588
S 0.7210 0.2500 0.5804
S 0.2518 0.0213 0.6588
Na 0.9847 0.2500 0.2711
S 0.2482 0.0213 0.1588
Sn 0.0000 0.0000 0.0000
S 0.7791 0.7500 0.0716
Na 0.0153 0.7500 0.7289
Sn 0.5978 0.7500 0.9131
S 0.2790 0.7500 0.4196
Na 0.5153 0.2500 0.7711
S 0.7209 0.7500 0.5716
Na 0.4847 0.7500 0.2289
Sn 0.0000 0.5000 0.0000
S 0.7482 0.5213 0.3412
S 0.7482 0.9787 0.3412
Sn 0.5000 0.5000 0.5000
Sn 0.5000 0.0000 0.5000

Theoretical density = 3.396 g cm⁻³
Symmetry = No. 62
Formation energy (no corrections) = -51.7 kJ/mol of atoms
V = 760 Å³ per cell
N(E_F) = 9.40 states/eV per cell
Final energy = -4.226 eV per atom
ΔE to the lowest computed polymorph = 0.000 eV/atom



(7)
This record from Alexandria via LeMat-Bulk describes a geometry-optimized Y2InIr structure. The functional is PBE-GGA.

Unit cell a=3.5429 b=3.5431 c=7.5025 alpha=90.00 beta=90.00 gamma=90.00
Atoms (fractional coordinates):
Y 0.0000 0.0000 0.9672
Y 0.0000 0.0000 0.5328
In 0.5000 0.5000 0.2500
Ir 0.5000 0.5000 0.7500

Theoretical density = 8.549 g cm⁻³
Symmetry = No. 123
V = 94 Å³ per cell
Formation energy from the elements = -0.6691 eV/atom
N(E_F) = 1.08 states/eV per cell
Final energy = -6.801 eV per atom



(8)
This record from Alexandria via LeMat-Bulk describes a geometry-optimized HoLu2In structure. The functional is PBE-GGA.

Unit cell a=4.7754 b=4.7725 c=4.7725 alpha=90.00 beta=90.00 gamma=90.00
Atoms (fractional coordinates):
Ho 0.5000 0.5000 0.5000
In 0.5000 0.0000 0.0000
Lu 0.0000 0.5000 0.0000
Lu 0.0000 0.0000 0.5000

Theoretical density = 9.613 g cm⁻³
Symmetry = No. 123
V = 109 Å³ per cell
Formation energy from the elements = -0.2536 eV/atom
N(E_F) = 4.41 states/eV per cell
Final energy = -4.343 eV per atom
ΔE to the lowest computed polymorph = 0.000 eV/atom



(9)
This record from Alexandria via LeMat-Bulk describes a geometry-optimized RbAl3Rh structure. The functional is PBE-GGA.

Unit cell a=4.8677 b=4.8677 c=4.8677 alpha=90.00 beta=90.00 gamma=90.00
Each line ends with the local moment (μB).
Atoms (fractional coordinates):
Al 0.5000 0.0000 0.0000  0.01
Rb 0.5000 0.5000 0.5000  0.04
Rh 0.0000 0.0000 0.0000  0.15
Al 0.0000 0.0000 0.5000  0.02
Al 0.0000 0.5000 0.0000  0.02

Theoretical density = 3.877 g cm⁻³
Symmetry = No. 221
V = 115 Å³ per cell
Formation energy from the elements = -0.1805 eV/atom
N(E_F) = 2.36 states/eV per cell
Final energy = -4.090 eV per atom
ΔE to the lowest computed polymorph = 0.000 eV/atom



(10)
This record from Alexandria via LeMat-Bulk describes a geometry-optimized Ac4LaHg structure. The functional is PBE-GGA.

Unit cell a=6.7468 b=10.1267 c=9.1036 alpha=115.50 beta=100.49 gamma=109.82
Atoms (fractional coordinates):
Ac 0.0530 0.1983 0.8198
Hg 0.2527 0.0027 0.0055
Ac 0.2265 0.2937 0.3626
Ac 0.7333 0.3786 0.1802
Ac 0.3639 0.9311 0.6374
Ac 0.9470 0.8017 0.1802
La 0.3719 0.6219 0.2438
La 0.6281 0.3781 0.7562
Ac 0.6361 0.0689 0.3626
Ac 0.2667 0.6214 0.8198
Ac 0.7735 0.7063 0.6374
Hg 0.7473 0.9973 0.9945

Theoretical density = 8.505 g cm⁻³
Symmetry = No. 15
V = 487 Å³ per cell
Formation energy from the elements = -0.0604 eV/atom
N(E_F) = 19.27 states/eV per cell
Final energy = -3.671 eV per atom
ΔE to the lowest computed polymorph = 0.088 eV/atom



(11)
This record from Alexandria via LeMat-Bulk describes a geometry-optimized Nb2CrPd structure. The functional is PBE-GGA.

Unit cell a=3.0110 b=3.0110 c=8.5227 alpha=79.83 beta=79.83 gamma=60.00
Atoms (fractional coordinates):
Pd 0.5000 0.5000 0.5000
Nb 0.7432 0.7432 0.7705
Cr 0.0000 0.0000 0.0000
Nb 0.2568 0.2568 0.2295

Theoretical density = 8.725 g cm⁻³
Symmetry = No. 166
V = 66 Å³ per cell
Formation energy from the elements = 0.1584 eV/atom
N(E_F) = 3.53 states/eV per cell
Final energy = -8.581 eV per atom
ΔE to the lowest computed polymorph = 0.245 eV/atom



(12)
This record from Alexandria via LeMat-Bulk describes a geometry-optimized MgZn2Pd3 structure. The functional is PBE-GGA.

Unit cell a=2.9787 b=2.9787 c=10.1149 alpha=90.00 beta=90.00 gamma=90.00
Atoms (fractional coordinates):
Pd 0.0000 0.0000 0.3216
Pd 0.0000 0.0000 0.0000
Zn 0.5000 0.5000 0.1620
Mg 0.5000 0.5000 0.5000
Pd 0.0000 0.0000 0.6784
Zn 0.5000 0.5000 0.8380

Theoretical density = 8.778 g cm⁻³
Symmetry = No. 123
V = 90 Å³ per cell
Formation energy from the elements = -0.6184 eV/atom
N(E_F) = 1.40 states/eV per cell
Final energy = -3.905 eV per atom